# 1
Density functional theory data (GGA-PBE) for a relaxed MoPdS2 crystal.

Geometry as POSCAR:
```
MoPdS2
1.0
3.166 0.000 0.000
-0.002 5.839 0.000
-1.573 -1.020 7.293
Mo Pd S
2 2 4
direct
0.247 0.200 0.494 Mo
0.753 0.800 0.506 Mo
0.000 0.000 0.000 Pd
0.000 0.500 0.000 Pd
0.159 0.544 0.317 S
0.367 0.974 0.737 S
0.633 0.026 0.263 S
0.841 0.456 0.683 S
```

Output
For the total energy, the calculation gives -6.52 eV/atom. For the total moment, the calculation gives 0.00 μB/f.u. The energy above the most stable polymorph in this dataset comes out at 0.000 eV/atom. The value obtained for the uncorrected formation energy is -0.453 eV per atom. Its space-group type is P-1, No. 2.


# 2
Density functional theory data (GGA-PBE) for a relaxed Ca3TbPu2Te6 crystal.

Geometry as POSCAR:
```
Ca3TbPu2Te6
1.0
3.856 -6.677 0.000
3.856 6.677 0.000
-2.572 0.000 7.364
Ca Tb Pu Te
3 1 2 6
direct
0.000 0.000 0.000 Ca
0.332 0.668 0.000 Ca
0.668 0.332 0.000 Ca
0.500 0.500 0.500 Tb
0.166 0.834 0.500 Pu
0.834 0.166 0.500 Pu
0.088 0.417 0.252 Te
0.254 0.254 0.749 Te
0.417 0.088 0.252 Te
0.583 0.912 0.748 Te
0.746 0.746 0.251 Te
0.912 0.583 0.748 Te
```

Output
For the total energy, the calculation gives -6.22 eV/atom. For the total moment, the calculation gives 12.31 μB/f.u. The value obtained for the uncorrected formation energy is -1.374 eV per atom. Its space-group type is C2/m, No. 12.


# 3
Density functional theory data (GGA-PBE) for a relaxed Pm2MgPb9 crystal.

Geometry as POSCAR:
```
Pm2MgPb9
1.0
4.816 0.000 0.000
0.000 4.816 0.000
0.000 0.000 15.284
Pm Mg Pb
2 1 9
direct
0.000 0.000 0.160 Pm
0.000 0.000 0.840 Pm
0.000 0.000 0.500 Mg
0.000 0.500 0.000 Pb
0.000 0.500 0.337 Pb
0.000 0.500 0.663 Pb
0.500 0.000 0.000 Pb
0.500 0.000 0.337 Pb
0.500 0.000 0.663 Pb
0.500 0.500 0.171 Pb
0.500 0.500 0.500 Pb
0.500 0.500 0.829 Pb
```

Output
For the total energy, the calculation gives -3.94 eV/atom. For the total moment, the calculation gives 0.00 μB/f.u. Its space-group type is P4/mmm, No. 123.


# 4
Density functional theory data (GGA-PBE) for a relaxed B2PdS crystal.

Geometry as POSCAR:
```
B2PdS
1.0
-2.457 2.457 4.039
2.457 -2.457 4.039
2.457 2.457 -4.039
B Pd S
4 2 2
direct
0.090 0.625 0.965 B
0.375 0.340 0.465 B
0.660 0.125 0.035 B
0.875 0.910 0.535 B
0.250 0.750 0.500 Pd
0.500 0.500 0.000 Pd
0.000 0.000 0.000 S
0.750 0.250 0.500 S
```

Output
For the total energy, the calculation gives -5.36 eV/atom. For the total moment, the calculation gives 0.00 μB/f.u. The value obtained for the uncorrected formation energy is 0.306 eV per atom. Its space-group type is I-42d, No. 122.


# 5
Density functional theory data (GGA-PBE) for a relaxed K2ZnC crystal.

Geometry as POSCAR:
```
K2ZnC
1.0
0.000 3.861 3.861
3.861 0.000 3.861
3.861 3.861 0.000
K Zn C
2 1 1
direct
0.250 0.250 0.250 K
0.750 0.750 0.750 K
0.000 0.000 0.000 Zn
0.500 0.500 0.500 C
```

Output
For the total energy, the calculation gives -1.89 eV/atom. For the total moment, the calculation gives 2.00 μB/f.u. The energy above the most stable polymorph in this dataset comes out at 0.696 eV/atom. Its space-group type is Fm-3m, No. 225.


# 6
Density functional theory data (GGA-PBE) for a relaxed K2HgW crystal.

Geometry as POSCAR:
```
K2HgW
1.0
6.116 -1.463 0.000
6.116 1.463 0.000
-0.627 0.000 5.624
K Hg W
2 1 1
direct
0.243 0.243 0.248 K
0.757 0.757 0.752 K
0.500 0.500 0.000 Hg
0.000 0.000 0.500 W
```

Output
For the total energy, the calculation gives -2.64 eV/atom. For the total moment, the calculation gives 1.41 μB/f.u. Its space-group type is C2/m, No. 12.


# 7
Density functional theory data (GGA-PBE) for a relaxed ZnAgSeBr2 crystal.

Geometry as POSCAR:
```
ZnAgSeBr2
1.0
5.257 0.000 0.000
0.000 5.257 0.000
0.000 0.000 4.933
Zn Ag Se Br
1 1 1 2
direct
0.000 0.000 0.000 Zn
0.500 0.500 0.500 Ag
0.000 0.000 0.500 Se
0.000 0.500 0.000 Br
0.500 0.000 0.000 Br
```

Output
For the total energy, the calculation gives -2.14 eV/atom. For the total moment, the calculation gives 0.88 μB/f.u. The energy above the most stable polymorph in this dataset comes out at 0.000 eV/atom. The value obtained for the uncorrected formation energy is 0.053 eV per atom. Its space-group type is P4/mmm, No. 123.


# 8
Density functional theory data (GGA-PBE) for a relaxed FeSb2Cl crystal.

Geometry as POSCAR:
```
FeSb2Cl
1.0
3.904 -3.861 0.000
3.904 3.861 0.000
-0.661 0.000 3.073
Fe Sb Cl
1 2 1
direct
0.000 0.000 0.000 Fe
0.000 0.500 0.000 Sb
0.500 0.000 0.000 Sb
0.500 0.500 0.000 Cl
```

Output
For the total energy, the calculation gives -4.40 eV/atom. For the total moment, the calculation gives 2.68 μB/f.u. The energy above the most stable polymorph in this dataset comes out at 0.319 eV/atom. The value obtained for the uncorrected formation energy is 0.237 eV per atom. Its space-group type is C2/m, No. 12.


# 9
Density functional theory data (GGA-PBE) for a relaxed Cu5RuBr12 crystal.

Geometry as POSCAR:
```
Cu5RuBr12
1.0
3.605 -5.359 0.000
3.605 5.359 0.000
-3.385 0.000 13.048
Cu Ru Br
5 1 12
direct
0.000 0.000 0.000 Cu
0.171 0.829 0.500 Cu
0.333 0.667 0.000 Cu
0.667 0.333 0.000 Cu
0.829 0.171 0.500 Cu
0.500 0.500 0.500 Ru
0.007 0.674 0.886 Br
0.148 0.148 0.414 Br
0.269 0.606 0.618 Br
0.326 0.993 0.114 Br
0.341 0.341 0.886 Br
0.394 0.731 0.382 Br
0.606 0.269 0.618 Br
0.659 0.659 0.114 Br
0.674 0.007 0.886 Br
0.731 0.394 0.382 Br
0.852 0.852 0.586 Br
0.993 0.326 0.114 Br
```

Output
For the total energy, the calculation gives -3.04 eV/atom. For the total moment, the calculation gives 4.11 μB/f.u. The value obtained for the uncorrected formation energy is -0.268 eV per atom. Its space-group type is C2/m, No. 12.


# 10
Density functional theory data (GGA-PBE) for a relaxed BaZrP2Cl crystal.

Geometry as POSCAR:
```
BaZrP2Cl
1.0
5.087 0.000 0.000
0.000 5.087 0.000
0.000 0.000 5.210
Ba Zr P Cl
1 1 2 1
direct
0.000 0.000 0.000 Ba
0.500 0.500 0.500 Zr
0.000 0.500 0.500 P
0.500 0.000 0.500 P
0.500 0.500 0.000 Cl
```

Output
For the total energy, the calculation gives -5.73 eV/atom. For the total moment, the calculation gives 0.00 μB/f.u. The energy above the most stable polymorph in this dataset comes out at 0.000 eV/atom. The value obtained for the uncorrected formation energy is -1.106 eV per atom. Its space-group type is P4/mmm, No. 123.


# 11
Density functional theory data (GGA-PBE) for a relaxed Tb3Zn9In2 crystal.

Geometry as POSCAR:
```
Tb3Zn9In2
1.0
-2.181 4.800 6.491
2.181 -4.800 6.491
2.181 4.800 -6.491
Tb Zn In
3 9 2
direct
0.000 0.000 0.000 Tb
0.297 0.297 0.000 Tb
0.703 0.703 0.000 Tb
0.034 0.663 0.371 Zn
0.124 0.851 0.273 Zn
0.292 0.663 0.629 Zn
0.422 0.149 0.273 Zn
0.500 0.000 0.500 Zn
0.578 0.851 0.727 Zn
0.708 0.337 0.371 Zn
0.876 0.149 0.727 Zn
0.966 0.337 0.629 Zn
0.302 0.500 0.802 In
0.698 0.500 0.198 In
```

Output
For the total energy, the calculation gives -2.52 eV/atom. For the total moment, the calculation gives 0.00 μB/f.u. Its space-group type is Immm, No. 71.


# 12
Density functional theory data (GGA-PBE) for a relaxed LaYSe4 crystal.

Geometry as POSCAR:
```
LaYSe4
1.0
0.000 4.190 4.190
4.190 0.000 4.190
4.190 4.190 0.000
La Y Se
1 1 4
direct
0.000 0.000 0.000 La
0.250 0.250 0.250 Y
0.126 0.625 0.625 Se
0.625 0.126 0.625 Se
0.625 0.625 0.126 Se
0.625 0.625 0.625 Se
```

Output
For the total energy, the calculation gives -4.55 eV/atom. For the total moment, the calculation gives 1.48 μB/f.u. The value obtained for the uncorrected formation energy is -0.330 eV per atom. Its space-group type is F-43m, No. 216.